VASP calculation (PBE) on crystalline CdAsPbO at its relaxed geometry.

Cell and atoms, written as extended XYZ:
```
8
Lattice="4.663 0.000 0.000 0.000 4.663 0.000 0.000 0.000 8.893" Properties=species:S:1:pos:R:3 pbc="T T T"
Cd 1.166 1.166 0.132
Cd 3.498 3.498 8.761
As 1.166 1.166 6.113
As 3.498 3.498 2.780
Pb 1.166 3.498 4.446
Pb 3.498 1.166 4.446
O 1.166 3.498 0.000
O 3.498 1.166 0.000
```

Output
Space group   P4/nmm (129)
Energy relative to the lowest polymorph listed for this composition   218.2 meV per atom
Uncorrected energy   -3.74 eV per atom
ρ   7.05 g/cm3